(1)
The following is a GGA-PBEsol calculation of a geometry-optimized MgTlAu structure, from Alexandria via LeMat-Bulk.

Structure (POSCAR):
```
MgTlAu
1.0
3.305 0.000 0.000
0.000 3.305 0.000
-1.652 -1.652 5.800
Tl Mg Au
1 1 1
Cartesian
1.652 1.652 1.845 Tl
0.000 0.000 4.161 Mg
1.652 1.652 5.595 Au
```

Output
Density, g/cm³: 11.2
D(E_F), states/eV/cell: 0.81
Space group: I4mm
E_form, eV per atom: -0.23

=====

(2)
The following is a GGA-PBEsol calculation of a geometry-optimized Mg2TlWAu structure, from Alexandria via LeMat-Bulk.

Structure (POSCAR):
```
Mg2TlWAu
1.0
-1.477 4.733 -0.761
-4.109 -0.840 2.753
2.558 1.484 4.270
Mg W Au Tl
2 1 1 1
Cartesian
-2.054 -0.420 1.377 Mg
-0.739 2.367 -0.380 Mg
1.279 0.742 2.135 W
-1.514 2.689 3.131 Au
0.000 0.000 0.000 Tl
```

Output
Density, g/cm³: 8.1
D(E_F), states/eV/cell: 3.76
Space group: P4/mmm
E_form, eV per atom: 1.50

=====

(3)
The following is a GGA-PBEsol calculation of a geometry-optimized TmMgAu structure, from Alexandria via LeMat-Bulk.

Structure (POSCAR):
```
TmMgAu
1.0
3.990 0.000 0.000
0.000 7.454 0.000
0.000 -3.727 6.455
Mg Tm Au
3 3 3
Cartesian
0.000 2.799 4.847 Mg
0.000 1.857 0.000 Mg
0.000 -0.928 1.608 Mg
1.995 -2.195 3.802 Tm
1.995 1.532 2.653 Tm
1.995 4.390 0.000 Tm
1.995 0.000 0.000 Au
0.000 3.727 2.152 Au
0.000 0.000 4.303 Au
```

Output
Density, g/cm³: 10.1
D(E_F), states/eV/cell: 6.08
Space group: P-62m
E_form, eV per atom: -0.69

=====

(4)
The following is a GGA-PBEsol calculation of a geometry-optimized TmMgAu2 structure, from Alexandria via LeMat-Bulk.

Structure (POSCAR):
```
TmMgAu2
1.0
-0.830 -4.484 -1.452
1.326 -1.378 -4.387
3.646 -3.051 -0.550
Tm Au Mg
1 2 1
Cartesian
0.000 0.000 0.000 Tm
1.035 -2.228 -1.597 Au
3.106 -6.685 -4.792 Au
2.070 -4.457 -3.194 Mg
```

Output
Density, g/cm³: 12.6
D(E_F), states/eV/cell: 1.94
Space group: Fm-3m
E_form, eV per atom: -0.80